[1]
Here is ErBi2O4F after structural relaxation from the Open Quantum Materials Database. Energies are from PBE.

Properties
SG: P4/mmm (123)
V (Å³ per cell): 121
E_tot (eV/atom): -6.483

The structure in POSCAR format:
```
ErBi2O4F
1.0
3.785 0.000 0.000
0.000 3.785 0.000
0.000 0.000 8.414
O Er Bi F
4 1 2 1
Direct
0.500 0.000 0.838
0.000 0.500 0.162
0.500 0.000 0.162
0.000 0.500 0.838
0.000 0.000 0.000
0.500 0.500 0.299
0.500 0.500 0.701
0.000 0.000 0.500
```

[2]
Here is Er6FeBi2 after structural relaxation from the Open Quantum Materials Database. Energies are from PBE.

Properties
SG: P-62m (189)
V (Å³ per cell): 245
E_tot (eV/atom): -5.293

The structure in POSCAR format:
```
Er6FeBi2
1.0
-5.701 5.399 -2.601
2.062 -6.448 -4.753
-2.964 -2.267 1.790
Er Bi Fe
6 2 1
Direct
0.770 0.770 0.500
0.612 0.000 0.000
0.000 0.230 0.500
0.388 0.388 0.000
0.000 0.612 0.000
0.230 0.000 0.500
0.333 0.667 0.500
0.667 0.333 0.500
0.000 0.000 0.000
```

[3]
Here is Er3Hf3FeBi2 after structural relaxation from the Open Quantum Materials Database. Energies are from PBE.

Properties
SG: P-62m (189)
V (Å³ per cell): 215
E_tot (eV/atom): -6.781

The structure in POSCAR format:
```
Er3Hf3FeBi2
1.0
8.105 0.000 0.000
-4.053 7.019 0.000
0.000 0.000 3.780
Bi Fe Er Hf
2 1 3 3
Direct
0.333 0.667 0.500
0.667 0.333 0.500
0.000 0.000 0.000
0.000 0.242 0.500
0.758 0.758 0.500
0.242 0.000 0.500
0.383 0.383 0.000
0.617 0.000 0.000
0.000 0.617 0.000
```

[4]
Here is Ho3Er3FeBi2 after structural relaxation from the Open Quantum Materials Database. Energies are from PBE.

Properties
SG: P-62m (189)
V (Å³ per cell): 245
E_tot (eV/atom): -5.288

The structure in POSCAR format:
```
Ho3Er3FeBi2
1.0
8.283 0.000 0.000
-4.141 7.173 0.000
0.000 0.000 4.122
Fe Er Ho Bi
1 3 3 2
Direct
0.000 0.000 0.000
0.000 0.610 0.000
0.390 0.390 0.000
0.610 0.000 0.000
0.231 0.000 0.500
0.769 0.769 0.500
0.000 0.231 0.500
0.333 0.667 0.500
0.667 0.333 0.500
```

[5]
Here is Ho3Er3FeBi2 after structural relaxation from the Open Quantum Materials Database. Energies are from PBE.

Properties
SG: P-62m (189)
V (Å³ per cell): 246
E_tot (eV/atom): -5.304

The structure in POSCAR format:
```
Ho3Er3FeBi2
1.0
-6.200 -5.159 1.909
5.386 -2.023 -5.967
2.405 -1.854 2.800
Bi Ho Fe Er
2 3 1 3
Direct
0.333 0.667 0.500
0.667 0.333 0.500
0.607 0.000 0.000
0.393 0.393 0.000
0.000 0.607 0.000
0.000 0.000 0.000
0.000 0.228 0.500
0.772 0.772 0.500
0.228 0.000 0.500
```

[6]
Here is Er3Lu3FeBi2 after structural relaxation from the Open Quantum Materials Database. Energies are from PBE.

Properties
SG: P-62m (189)
V (Å³ per cell): 239
E_tot (eV/atom): -5.301

The structure in POSCAR format:
```
Er3Lu3FeBi2
1.0
-3.297 -6.494 3.718
7.930 1.711 1.027
-0.928 2.342 3.268
Er Lu Bi Fe
3 3 2 1
Direct
0.387 0.000 0.000
0.613 0.613 0.000
0.000 0.387 0.000
0.771 0.000 0.500
0.229 0.229 0.500
0.000 0.771 0.500
0.667 0.333 0.500
0.333 0.667 0.500
0.000 0.000 0.000
```

[7]
Here is Er3Tm3FeBi2 after structural relaxation from the Open Quantum Materials Database. Energies are from PBE.

Properties
SG: P-62m (189)
V (Å³ per cell): 242
E_tot (eV/atom): -5.274

The structure in POSCAR format:
```
Er3Tm3FeBi2
1.0
-6.540 -4.862 1.121
7.459 -3.312 -1.027
0.613 0.116 4.076
Bi Fe Er Tm
2 1 3 3
Direct
0.667 0.333 0.500
0.333 0.667 0.500
0.000 0.000 0.000
0.388 0.388 0.000
0.000 0.612 0.000
0.612 0.000 0.000
0.000 0.229 0.500
0.229 0.000 0.500
0.771 0.771 0.500
```

[8]
Here is Er3Tm3FeBi2 after structural relaxation from the Open Quantum Materials Database. Energies are from PBE.

Properties
SG: P-62m (189)
V (Å³ per cell): 242
E_tot (eV/atom): -5.256

The structure in POSCAR format:
```
Er3Tm3FeBi2
1.0
8.235 0.000 0.000
-4.118 7.132 0.000
0.000 0.000 4.121
Bi Er Tm Fe
2 3 3 1
Direct
0.333 0.667 0.500
0.667 0.333 0.500
0.000 0.230 0.500
0.770 0.770 0.500
0.230 0.000 0.500
0.612 0.000 0.000
0.388 0.388 0.000
0.000 0.612 0.000
0.000 0.000 0.000
```